1.
Below is a geometry-optimized CsAcReN4 structure, with properties calculated at the PBE level.

```
data_CsAcReN4
_chemical_formula_sum 'Cs2 Ac2 Re2 N8'
_cell_length_a 6.604
_cell_length_b 6.158
_cell_length_c 8.463
_cell_angle_alpha 90.00
_cell_angle_beta 104.80
_cell_angle_gamma 90.00
_space_group_name_H-M_alt 'P 1 21/m 1'
_space_group_IT_number 11
loop_
_space_group_symop_operation_xyz
'x,y,z'
'-x,-y,-z'
'-x,y+1/2,-z'
'x,-y+1/2,z'
loop_
_atom_site_label
_atom_site_fract_x
_atom_site_fract_y
_atom_site_fract_z
Cs1 0.212 0.250 0.422
Ac1 0.271 0.250 0.936
Re1 0.256 0.750 0.152
N1 0.074 0.750 0.950
N2 0.088 0.750 0.294
N3 0.431 0.514 0.167
```

Results
ΔE_f (raw): -434 meV/atom
Electronic total energy: -0.564 Ry per atom

***

2.
Below is a geometry-optimized U2TeI8 structure, with properties calculated at the PBE level.

```
data_U2TeI8
_chemical_formula_sum 'U4 Te2 I16'
_cell_length_a 9.741
_cell_length_b 13.786
_cell_length_c 9.451
_cell_angle_alpha 90.00
_cell_angle_beta 90.38
_cell_angle_gamma 90.00
_space_group_name_H-M_alt 'C 1 2/m 1'
_space_group_IT_number 12
loop_
_space_group_symop_operation_xyz
'x,y,z'
'-x,-y,-z'
'-x,y,-z'
'x,-y,z'
'x+1/2,y+1/2,z'
'-x+1/2,-y+1/2,-z'
'-x+1/2,y+1/2,-z'
'x+1/2,-y+1/2,z'
loop_
_atom_site_label
_atom_site_fract_x
_atom_site_fract_y
_atom_site_fract_z
U1 0.110 0.000 0.286
Te1 0.000 0.000 0.000
I1 0.102 0.209 0.286
I2 0.107 0.500 0.797
I3 0.188 0.000 0.602
```

Results
ΔE_f (raw): -676 meV/atom
Electronic total energy: -0.304 Ry per atom